Here is a geometry-optimized Sr2MgTa structure from the Alexandria database. Energies are from PBE.

The calculation puts the density of states at the Fermi level at 1.107 states/eV per atom. As for the symmetry: No. 8. As for the total energy: -3.5257 eV per atom.

Cell: 12.776 3.389 6.108 Å, 90.00 108.50 90.00°
Fractional coordinates of all 8 atoms:
Sr 0.000 0.000 0.000
Sr 0.200 0.000 0.621
Sr 0.500 0.500 0.000
Sr 0.700 0.500 0.621
Mg 0.266 0.500 0.176
Mg 0.766 0.000 0.176
Ta 0.446 0.000 0.465
Ta 0.946 0.500 0.465

=====

Here is a geometry-optimized BeAl2Ir structure from the Alexandria database. Energies are from PBE.

The calculation puts the density of states at the Fermi level at 0.335 states/eV per atom. As for the symmetry: No. 8. As for the total energy: -5.5807 eV per atom.

Cell: 8.894 4.013 7.637 Å, 90.00 125.54 90.00°
Fractional coordinates of all 16 atoms:
Be 0.000 0.000 0.000
Be 0.123 0.000 0.404
Be 0.500 0.500 0.000
Be 0.623 0.500 0.404
Al 0.170 0.500 0.947
Al 0.313 0.000 0.847
Al 0.340 0.000 0.271
Al 0.436 0.500 0.590
Al 0.670 0.000 0.947
Al 0.813 0.500 0.847
Al 0.840 0.500 0.271
Al 0.936 0.000 0.590
Ir 0.112 0.500 0.220
Ir 0.163 0.500 0.622
Ir 0.612 0.000 0.220
Ir 0.663 0.000 0.622

=====

Here is a geometry-optimized Li2MgH structure from the Alexandria database. Energies are from PBE.

The calculation puts the density of states at the Fermi level at 0.420 states/eV per atom. Its distance to the lowest polymorph of the same formula is 0.608 eV per atom. As for the symmetry: No. 225. As for the total energy: -1.7614 eV per atom.

Cell: 6.545 6.545 6.545 Å, 90.00 90.00 90.00°
Fractional coordinates of all 16 atoms:
Li 0.250 0.250 0.250
Li 0.250 0.250 0.750
Li 0.250 0.750 0.250
Li 0.250 0.750 0.750
Li 0.750 0.250 0.250
Li 0.750 0.250 0.750
Li 0.750 0.750 0.250
Li 0.750 0.750 0.750
Mg 0.000 0.000 0.000
Mg 0.000 0.500 0.500
Mg 0.500 0.000 0.500
Mg 0.500 0.500 0.000
H 0.000 0.000 0.500
H 0.000 0.500 0.000
H 0.500 0.000 0.000
H 0.500 0.500 0.500

=====

Here is a geometry-optimized Cs4K2InSb2 structure from the Alexandria database. Energies are from PBE.

The calculation puts the density of states at the Fermi level at 0.753 states/eV per atom. As for the symmetry: No. 12. The value obtained for the uncorrected formation energy is -0.208 eV/atom. As for the total energy: -2.0517 eV per atom.

Cell: 9.984 9.984 5.785 Å, 106.53 106.53 70.96°
Fractional coordinates of all 9 atoms:
Cs 0.072 0.654 0.861
Cs 0.346 0.928 0.139
Cs 0.654 0.072 0.861
Cs 0.928 0.346 0.139
K 0.356 0.356 0.352
K 0.644 0.644 0.648
In 0.000 0.000 0.500
Sb 0.201 0.201 0.701
Sb 0.799 0.799 0.299

=====

Here is a geometry-optimized K2NaGaAs2 structure from the Alexandria database. Energies are from PBE.

As for the symmetry: No. 72. As for the total energy: -3.1481 eV per atom.

Cell: 8.894 8.894 8.894 Å, 135.15 64.59 136.07°
Fractional coordinates of all 12 atoms:
K 0.173 0.245 0.418
K 0.327 0.745 0.072
K 0.673 0.255 0.928
K 0.827 0.755 0.582
Na 0.250 0.250 0.000
Na 0.750 0.750 0.000
Ga 0.250 0.750 0.500
Ga 0.750 0.250 0.500
As 0.095 0.703 0.797
As 0.405 0.203 0.608
As 0.595 0.797 0.392
As 0.905 0.297 0.203

=====

Here is a geometry-optimized ErTeCl structure from the Alexandria database. Energies are from PBE.

The calculation puts the density of states at the Fermi level at 0.001 states/eV per atom. As for the symmetry: No. 119. The value obtained for the uncorrected formation energy is -1.648 eV/atom. As for the total energy: -4.8316 eV per atom.

Cell: 4.096 4.096 22.407 Å, 90.00 90.00 90.00°
Fractional coordinates of all 12 atoms:
Er 0.000 0.000 0.152
Er 0.000 0.000 0.848
Er 0.500 0.500 0.348
Er 0.500 0.500 0.652
Te 0.000 0.000 0.298
Te 0.000 0.000 0.702
Te 0.500 0.500 0.202
Te 0.500 0.500 0.798
Cl 0.000 0.500 0.072
Cl 0.000 0.500 0.428
Cl 0.500 0.000 0.572
Cl 0.500 0.000 0.928

=====

Here is a geometry-optimized Sr2Li2Nb structure from the Alexandria database. Energies are from PBE.

The calculation puts the density of states at the Fermi level at 0.569 states/eV per atom. Its distance to the lowest polymorph of the same formula is 0.085 eV per atom. As for the symmetry: No. 139. As for the total energy: -2.7727 eV per atom.

Cell: 6.197 6.197 8.227 Å, 90.00 90.00 90.00°
Fractional coordinates of all 10 atoms:
Sr 0.000 0.500 0.250
Sr 0.000 0.500 0.750
Sr 0.500 0.000 0.250
Sr 0.500 0.000 0.750
Li 0.000 0.000 0.148
Li 0.000 0.000 0.852
Li 0.500 0.500 0.352
Li 0.500 0.500 0.648
Nb 0.000 0.000 0.500
Nb 0.500 0.500 0.000

=====

Here is a geometry-optimized TbHo4Zn structure from the Alexandria database. Energies are from PBE.

The calculation puts the density of states at the Fermi level at 1.355 states/eV per atom. Its distance to the lowest polymorph of the same formula is 0.102 eV per atom. As for the symmetry: No. 15. As for the total energy: -4.0333 eV per atom.

Cell: 8.038 8.038 6.182 Å, 100.08 100.08 113.97°
Fractional coordinates of all 12 atoms:
Tb 0.096 0.904 0.750
Tb 0.904 0.096 0.250
Ho 0.111 0.337 0.875
Ho 0.214 0.579 0.451
Ho 0.337 0.111 0.375
Ho 0.421 0.786 0.049
Ho 0.579 0.214 0.951
Ho 0.663 0.889 0.625
Ho 0.786 0.421 0.549
Ho 0.889 0.663 0.125
Zn 0.500 0.500 0.250
Zn 0.500 0.500 0.750